# 1
SrTa | PBE-GGA | optimized geometry

Calculated values
The density of states at the Fermi level is 12.4 states/eV per cell. As for the space-group type: P6_3/mmc. The calculation puts the total energy at -5.95 eV/atom. The calculation puts the energy of formation at 157 kJ/mol of formula units.

Cell: 4.6197 4.6197 15.0454 Å, 90.00 90.00 120.00°
With the nearest neighbours (Å) after each atom.
Positions (direct):
1 Sr 0.3333 0.6667 0.1090  6 Ta 3.41
2 Sr 0.3333 0.6667 0.3910  6 Ta 3.41
3 Sr 0.6667 0.3333 0.6090  6 Ta 3.41
4 Sr 0.6667 0.3333 0.8910  6 Ta 3.41
5 Ta 0.0000 0.0000 0.2500  3 Ta 2.67
6 Ta 0.0000 0.0000 0.7500  3 Ta 2.67
7 Ta 0.3333 0.6667 0.7500  3 Ta 2.67
8 Ta 0.6667 0.3333 0.2500  3 Ta 2.67


# 2
Sr4Ta5 | PBE-GGA | optimized geometry

Calculated values
The density of states at the Fermi level is 14.2 states/eV per cell. As for the space-group type: I4/mmm. The calculation puts the total energy at -6.57 eV/atom. The calculation puts the energy of formation at 658 kJ/mol of formula units.

Cell: 8.4252 8.4252 8.4252 Å, 94.03 94.03 149.26°
With the nearest neighbours (Å) after each atom.
Positions (direct):
1 Sr 0.0000 0.2993 0.2993  5 Ta 3.35-3.44
2 Sr 0.0000 0.7007 0.7007  5 Ta 3.35-3.44
3 Sr 0.2993 0.0000 0.2993  5 Ta 3.35-3.44
4 Sr 0.7007 0.0000 0.7007  5 Ta 3.35-3.44
5 Ta 0.0000 0.0000 0.0000  8 Ta 2.92
6 Ta 0.3847 0.3847 0.7693  4 Ta 2.65-2.92
7 Ta 0.3847 0.6153 0.0000  4 Ta 2.65-2.92
8 Ta 0.6153 0.3847 0.0000  4 Ta 2.65-2.92
9 Ta 0.6153 0.6153 0.2307  4 Ta 2.65-2.92


# 3
SrTa | PBE-GGA | optimized geometry

Calculated values
The density of states at the Fermi level is 9.2 states/eV per cell. As for the space-group type: C2/m. The calculation puts the total energy at -6.02 eV/atom. The calculation puts the energy of formation at 145 kJ/mol of formula units.

Cell: 9.1196 3.3318 8.6856 Å, 90.00 92.87 90.00°
With the nearest neighbours (Å) after each atom.
Positions (direct):
1 Sr 0.1134 0.0000 0.3018  2 Sr 3.33, 5 Ta 3.34-3.57
2 Sr 0.3866 0.5000 0.6982  2 Sr 3.33, 5 Ta 3.34-3.57
3 Sr 0.6134 0.5000 0.3018  2 Sr 3.33, 5 Ta 3.34-3.57
4 Sr 0.8866 0.0000 0.6982  2 Sr 3.33, 5 Ta 3.34-3.57
5 Ta 0.1348 0.5000 0.9647  3 Ta 2.56-2.73
6 Ta 0.3652 0.0000 0.0353  3 Ta 2.56-2.73
7 Ta 0.6348 0.0000 0.9647  3 Ta 2.56-2.73
8 Ta 0.8652 0.5000 0.0353  3 Ta 2.56-2.73


# 4
SrTa | PBE-GGA | optimized geometry

Calculated values
The density of states at the Fermi level is 24.4 states/eV per cell. As for the space-group type: I4/m. The calculation puts the total energy at -5.52 eV/atom. The calculation puts the energy of formation at 240 kJ/mol of formula units.

Cell: 14.2545 14.2545 3.2341 Å, 90.00 90.00 90.00°
With the nearest neighbours (Å) after each atom.
Positions (direct):
1 Sr 0.0432 0.6976 0.0000  2 Sr 3.23, 4 Ta 3.27-3.42
2 Sr 0.1976 0.4568 0.5000  2 Sr 3.23, 4 Ta 3.27-3.42
3 Sr 0.3024 0.0432 0.0000  2 Sr 3.23, 4 Ta 3.27-3.42
4 Sr 0.4568 0.8024 0.5000  2 Sr 3.23, 4 Ta 3.27-3.42
5 Sr 0.5432 0.1976 0.5000  2 Sr 3.23, 4 Ta 3.27-3.42
6 Sr 0.6976 0.9568 0.0000  2 Sr 3.23, 4 Ta 3.27-3.42
7 Sr 0.8024 0.5432 0.5000  2 Sr 3.23, 4 Ta 3.27-3.42
8 Sr 0.9568 0.3024 0.0000  2 Sr 3.23, 4 Ta 3.27-3.42
9 Ta 0.1794 0.2461 0.0000  2 Ta 2.58
10 Ta 0.2461 0.8206 0.0000  2 Ta 2.58
11 Ta 0.2539 0.6794 0.5000  2 Ta 2.58
12 Ta 0.3206 0.2539 0.5000  2 Ta 2.58
13 Ta 0.6794 0.7461 0.5000  2 Ta 2.58
14 Ta 0.7461 0.3206 0.5000  2 Ta 2.58
15 Ta 0.7539 0.1794 0.0000  2 Ta 2.58
16 Ta 0.8206 0.7539 0.0000  2 Ta 2.58


# 5
SrTa2 | PBE-GGA | optimized geometry

Calculated values
The density of states at the Fermi level is 12.3 states/eV per cell. As for the space-group type: C2/m. The calculation puts the total energy at -7.92 eV/atom. The calculation puts the energy of formation at 157 kJ/mol of formula units.

Cell: 10.7849 3.4557 9.0429 Å, 90.00 108.45 90.00°
With the nearest neighbours (Å) after each atom.
Positions (direct):
1 Sr 0.1600 0.0000 0.1307  6 Ta 3.37-3.69, 3 Sr 3.46-3.51
2 Sr 0.3400 0.5000 0.8693  6 Ta 3.37-3.69, 3 Sr 3.46-3.51
3 Sr 0.6600 0.5000 0.1307  6 Ta 3.37-3.69, 3 Sr 3.46-3.51
4 Sr 0.8400 0.0000 0.8693  6 Ta 3.37-3.69, 3 Sr 3.46-3.51
5 Ta 0.0185 0.5000 0.6649  5 Ta 2.75-2.88
6 Ta 0.1555 0.0000 0.5372  6 Ta 2.75-2.91
7 Ta 0.3445 0.5000 0.4628  6 Ta 2.75-2.91
8 Ta 0.4815 0.0000 0.3351  5 Ta 2.75-2.88
9 Ta 0.5185 0.0000 0.6649  5 Ta 2.75-2.88
10 Ta 0.6555 0.5000 0.5372  6 Ta 2.75-2.91
11 Ta 0.8445 0.0000 0.4628  6 Ta 2.75-2.91
12 Ta 0.9815 0.5000 0.3351  5 Ta 2.75-2.88


# 6
SrTa | PBE-GGA | optimized geometry

Calculated values
The density of states at the Fermi level is 15.1 states/eV per cell. As for the space-group type: P2_13. The calculation puts the total energy at -5.10 eV/atom. The calculation puts the energy of formation at 321 kJ/mol of formula units.

Cell: 6.0436 6.0436 6.0436 Å, 90.00 90.00 90.00°
With the nearest neighbours (Å) after each atom.
Positions (direct):
1 Sr 0.0948 0.4052 0.5948  7 Ta 3.08-3.36
2 Sr 0.4052 0.5948 0.0948  7 Ta 3.08-3.36
3 Sr 0.5948 0.0948 0.4052  7 Ta 3.08-3.36
4 Sr 0.9052 0.9052 0.9052  7 Ta 3.08-3.36
5 Ta 0.1109 0.8891 0.3891  7 Sr 3.08-3.36
6 Ta 0.3891 0.1109 0.8891  7 Sr 3.08-3.36
7 Ta 0.6109 0.6109 0.6109  7 Sr 3.08-3.36
8 Ta 0.8891 0.3891 0.1109  7 Sr 3.08-3.36


# 7
SrTa2 | PBE-GGA | optimized geometry

Calculated values
The density of states at the Fermi level is 2.8 states/eV per cell. As for the space-group type: P6/mmm. The calculation puts the total energy at -7.48 eV/atom. The calculation puts the energy of formation at 285 kJ/mol of formula units.

Cell: 5.0980 5.0980 3.0900 Å, 90.00 90.00 120.00°
With the nearest neighbours (Å) after each atom.
Positions (direct):
1 Sr 0.0000 0.0000 0.0000  2 Sr 3.09, 12 Ta 3.32
2 Ta 0.3333 0.6667 0.5000  5 Ta 2.94-3.09
3 Ta 0.6667 0.3333 0.5000  5 Ta 2.94-3.09


# 8
SrTa | PBE-GGA | optimized geometry

Calculated values
The density of states at the Fermi level is 3.6 states/eV per cell. As for the space-group type: P4/nmm. The calculation puts the total energy at -6.27 eV/atom. The calculation puts the energy of formation at 96 kJ/mol of formula units.

Cell: 3.6382 3.6382 9.3929 Å, 90.00 90.00 90.00°
With the nearest neighbours (Å) after each atom.
Positions (direct):
1 Sr 0.2500 0.2500 0.1922  5 Ta 3.39-3.51, 4 Sr 3.64
2 Sr 0.7500 0.7500 0.8078  5 Ta 3.39-3.51, 4 Sr 3.64
3 Ta 0.2500 0.2500 0.5534  4 Ta 2.76
4 Ta 0.7500 0.7500 0.4466  4 Ta 2.76